Computed, not measured: a relaxed structure of AcCrIO6 at the GGA+U level of DFT.

Properties
**M_tot**: 2.00 μB per formula unit
**Electronic total energy**: -6.46 eV/atom
**SG**: P312, No. 149
**D(E_F)**: 0.1619 states/eV per atom

a b c (Å): 5.334 5.334 5.406
angles (deg): 90.00 90.00 120.00
Positions (direct):
Ac  0.000  0.000  0.000
Cr  0.667  0.333  0.500
I  0.333  0.667  0.500
O  0.374  0.001  0.292
O  0.374  0.373  0.708
O  0.627  0.001  0.708
O  0.627  0.626  0.292
O  0.999  0.373  0.292
O  0.999  0.626  0.708